[1]
Ti4MnRu3: relaxed, GGA-PBE.

## Properties
energy relative to the elements: -0.651 eV/atom
VASP energy: -73.8 eV/cell
theoretical density: 8.0 g/cm3

abc: 3.0555 3.0555 12.2455
angles: 90.00 90.00 90.00
Closest atoms and distances in Å follow each position.
Space group P4/mmm (No. 123)
Asymmetric unit:
Ti: 0.0000 0.0000 0.1183  4 Mn 2.60, 4 Ru 2.68, 1 Ti 2.90
Ti: 0.0000 0.0000 0.3725  8 Ru 2.64-2.67
Mn: 0.5000 0.5000 0.0000  8 Ti 2.60
Ru: 0.5000 0.5000 0.2481  8 Ti 2.64-2.68
Ru: 0.5000 0.5000 0.5000  8 Ti 2.67

[2]
Ti2MnRu2: relaxed, GGA-PBE.

## Properties
energy relative to the elements: -0.197 eV/atom
VASP energy: -89.0 eV/cell
theoretical density: 7.5 g/cm3

abc: 7.1490 7.1490 3.0554
angles: 90.00 90.00 90.00
Closest atoms and distances in Å follow each position.
Space group P4/mbm (No. 127)
Asymmetric unit:
Ti: 0.1563 0.3437 0.0000  6 Ru 2.53-2.64
Mn: 0.0000 0.0000 0.5000  4 Ru 2.75, 2 Mn 3.06
Ru: 0.1440 0.6440 0.5000  6 Ti 2.53-2.64, 2 Mn 2.75

[3]
TiMnRu3: relaxed, GGA-PBE.

## Properties
ΔE to the lowest computed polymorph: 0.0 kJ/mol of atoms
energy relative to the elements: 0.906 eV/atom
VASP energy: -40.4 eV/cell
theoretical density: 8.1 g/cm3

abc: 4.3749 4.3749 4.3749
angles: 90.00 90.00 90.00
Closest atoms and distances in Å follow each position.
Space group Pm-3m (No. 221)
Asymmetric unit:
Ti: 0.0000 0.0000 0.0000  12 Ru 3.09
Mn: 0.5000 0.5000 0.5000  6 Ru 2.19
Ru: 0.0000 0.5000 0.5000  2 Mn 2.19

[4]
TiMn4Ru: relaxed, GGA-PBE.

## Properties
energy relative to the elements: -0.113 eV/atom
VASP energy: -218.1 eV/cell
theoretical density: 8.4 g/cm3

abc: 6.6405 6.6405 6.6405
angles: 90.00 90.00 90.00
Closest atoms and distances in Å follow each position.
Space group F-43m (No. 216)
Asymmetric unit:
Ti: 0.0000 0.0000 0.0000  12 Mn 2.75, 4 Ru 2.88
Mn: 0.1276 0.1276 0.6276  6 Mn 2.30-2.40
Ru: 0.2500 0.2500 0.2500  12 Mn 2.76, 4 Ti 2.88

[5]
TiMn2Ru: relaxed, GGA-PBE.

## Properties
ΔE to the lowest computed polymorph: 38.8 kJ/mol of atoms
energy relative to the elements: 0.361 eV/atom
VASP energy: -136.3 eV/cell
theoretical density: 7.3 g/cm3

abc: 6.7766 6.7766 5.1238
angles: 90.00 90.00 90.00
Closest atoms and distances in Å follow each position.
Space group I-42d (No. 122)
Asymmetric unit:
Ti: 0.0000 0.0000 0.0000  4 Mn 2.56, 2 Ru 2.56
Mn: 0.2336 0.2500 0.6250  2 Ru 2.41, 2 Ti 2.56, 2 Mn 2.57
Ru: 0.0000 0.0000 0.5000  4 Mn 2.41, 2 Ti 2.56

[6]
TiMnRu3: relaxed, GGA-PBE.

## Properties
ΔE to the lowest computed polymorph: 59.2 kJ/mol of atoms
energy relative to the elements: 1.521 eV/atom
VASP energy: -37.3 eV/cell
theoretical density: 7.7 g/cm3

abc: 4.4392 4.4392 4.4392
angles: 90.00 90.00 90.00
Closest atoms and distances in Å follow each position.
Space group Pm-3m (No. 221)
Asymmetric unit:
Ti: 0.0000 0.0000 0.0000  6 Ru 2.22
Mn: 0.5000 0.5000 0.5000  12 Ru 3.14
Ru: 0.0000 0.0000 0.5000  2 Ti 2.22

[7]
TiMnRu: relaxed, GGA-PBE.

## Properties
energy relative to the elements: -0.068 eV/atom
VASP energy: -106.2 eV/cell
theoretical density: 8.3 g/cm3

abc: 12.2789 2.8882 4.5781
angles: 90.00 90.00 90.00
Closest atoms and distances in Å follow each position.
Space group Amm2 (No. 38)
Asymmetric unit:
Ti: 0.1596 0.0000 0.0000  2 Mn 2.43, 2 Ru 2.64, 4 Ti 2.71
Mn: 0.0000 0.0000 0.4990  4 Ti 2.43, 4 Mn 2.71
Mn: 0.5000 0.0000 0.8531  6 Ru 2.54, 4 Mn 2.71
Ru: 0.3394 0.0000 0.5019  3 Mn 2.54, 2 Ti 2.64, 4 Ru 2.71

[8]
TiMnRu2: relaxed, GGA-PBE.

## Properties
energy relative to the elements: 0.330 eV/atom
VASP energy: -137.2 eV/cell
theoretical density: 8.5 g/cm3

abc: 6.7941 6.7941 5.1916
angles: 90.00 90.00 90.00
Closest atoms and distances in Å follow each position.
Space group I-42d (No. 122)
Asymmetric unit:
Ti: 0.0000 0.0000 0.0000  2 Mn 2.60, 4 Ru 2.68
Mn: 0.0000 0.0000 0.5000  4 Ru 2.31
Ru: 0.2093 0.2500 0.6250  2 Mn 2.31

[9]
Ti2MnRu: relaxed, GGA-PBE.

## Properties
ΔE to the lowest computed polymorph: 1.4 kJ/mol of atoms
energy relative to the elements: -0.507 eV/atom
VASP energy: -36.3 eV/cell
theoretical density: 7.5 g/cm3

abc: 4.2937 4.2937 3.0362
angles: 90.00 90.00 90.00
Closest atoms and distances in Å follow each position.
Space group P4/mmm (No. 123)
Asymmetric unit:
Ti: 0.0000 0.5000 0.0000  4 Mn 2.63, 4 Ru 2.63
Mn: 0.0000 0.0000 0.5000  8 Ti 2.63
Ru: 0.5000 0.5000 0.5000  8 Ti 2.63

[10]
Ti4Mn3Ru: relaxed, GGA-PBE.

## Properties
energy relative to the elements: -0.378 eV/atom
VASP energy: -71.4 eV/cell
theoretical density: 6.9 g/cm3

abc: 3.0218 4.2655 8.4859
angles: 90.00 90.00 90.00
Closest atoms and distances in Å follow each position.
Space group Pmmm (No. 47)
Asymmetric unit:
Ti: 0.0000 0.0000 0.0000  8 Mn 2.57-2.61
Ti: 0.0000 0.0000 0.5000  4 Ru 2.61, 4 Mn 2.64
Ti: 0.0000 0.5000 0.2435  6 Mn 2.56-2.61, 2 Ru 2.65
Mn: 0.5000 0.0000 0.2454  8 Ti 2.57-2.64
Mn: 0.5000 0.5000 0.0000  8 Ti 2.56-2.61
Ru: 0.5000 0.5000 0.5000  8 Ti 2.61-2.65

[11]
Ti5MnRu4: relaxed, GGA-PBE.

## Properties
energy relative to the elements: -0.673 eV/atom
VASP energy: -92.5 eV/cell
theoretical density: 8.1 g/cm3

abc: 3.0600 3.0600 15.3386
angles: 90.00 90.00 90.00
Closest atoms and distances in Å follow each position.
Space group P4/mmm (No. 123)
Asymmetric unit:
Ti: 0.0000 0.0000 0.0000  8 Ru 2.66
Ti: 0.0000 0.0000 0.2035  8 Ru 2.64-2.68
Ti: 0.0000 0.0000 0.4060  4 Mn 2.60, 4 Ru 2.69, 1 Ti 2.88
Mn: 0.5000 0.5000 0.5000  8 Ti 2.60
Ru: 0.5000 0.5000 0.1006  8 Ti 2.66-2.68
Ru: 0.5000 0.5000 0.3016  8 Ti 2.64-2.69

[12]
TiMnVRu2: relaxed, GGA-PBE.

## Properties
energy relative to the elements: 0.729 eV/atom
VASP energy: -41.1 eV/cell
theoretical density: 7.2 g/cm3

abc: 4.4126 4.4126 4.2059
angles: 90.00 90.00 90.00
Closest atoms and distances in Å follow each position.
Space group P4/mmm (No. 123)
Asymmetric unit:
Ti: 0.0000 0.0000 0.0000  8 Ru 3.05, 4 V 3.12
Mn: 0.5000 0.5000 0.5000  2 V 2.10, 4 Ru 2.21
V: 0.5000 0.5000 0.0000  2 Mn 2.10
Ru: 0.0000 0.5000 0.5000  2 Mn 2.21